No. 1
VASP calculation (PBE) on a relaxed Pm6Pr2Sm3Mg crystal.

ΔE_f: 0.0133 eV/atom
magnetization: 0.0 μB/cell
N(E_F): 15.9 states/eV/f.u.

Unit cell a=6.279 b=6.279 c=12.006 alpha=95.03 beta=95.03 gamma=120.01
Fractional coordinates of all 12 atoms:
1 Pm 0.917 0.587 0.750
2 Pm 0.752 0.752 0.251
3 Pm 0.083 0.413 0.250
4 Pm 0.587 0.917 0.750
5 Pm 0.248 0.248 0.749
6 Pm 0.413 0.083 0.250
7 Pr 0.333 0.667 0.000
8 Pr 0.667 0.333 0.000
9 Sm 0.166 0.834 0.500
10 Sm 0.834 0.166 0.500
11 Sm 0.500 0.500 0.500
12 Mg 0.000 0.000 0.000


No. 2
VASP calculation (PBE) on a relaxed Pm6Pr3Sm2Mg crystal.

ΔE_f: 0.0224 eV/atom
magnetization: 0.0 μB/cell
N(E_F): 16.2 states/eV/f.u.

Unit cell a=6.300 b=6.300 c=12.020 alpha=95.04 beta=95.04 gamma=120.07
Fractional coordinates of all 12 atoms:
1 Pm 0.919 0.588 0.754
2 Pm 0.751 0.751 0.247
3 Pm 0.081 0.412 0.246
4 Pm 0.588 0.919 0.754
5 Pm 0.249 0.249 0.753
6 Pm 0.412 0.081 0.246
7 Pr 0.167 0.833 0.500
8 Pr 0.833 0.167 0.500
9 Pr 0.500 0.500 0.500
10 Sm 0.333 0.667 0.000
11 Sm 0.667 0.333 0.000
12 Mg 0.000 0.000 0.000


No. 3
VASP calculation (PBE) on a relaxed PmPrSmMg crystal.

relative energy among the computed polymorphs: 0 meV per atom
ΔE_f: -0.0370 eV/atom
magnetization: 0.0 μB/cell
N(E_F): 4.5 states/eV/f.u.

Unit cell a=3.712 b=3.712 c=9.319 alpha=90.00 beta=90.00 gamma=90.00
Fractional coordinates of all 4 atoms:
1 Pm 0.000 0.000 0.067
2 Pr 0.500 0.500 0.341
3 Sm 0.500 0.500 0.801
4 Mg 0.000 0.000 0.576


No. 4
VASP calculation (PBE) on a relaxed Pm2PrSm2Mg crystal.

ΔE_f: 0.2134 eV/atom
magnetization: 0.0 μB/cell
N(E_F): 8.9 states/eV/f.u.

Unit cell a=3.449 b=6.207 c=18.968 alpha=90.00 beta=90.00 gamma=90.00
Fractional coordinates of all 12 atoms:
1 Pm 0.500 0.836 0.363
2 Pm 0.500 0.164 0.637
3 Pm 0.000 0.664 0.863
4 Pm 0.000 0.336 0.137
5 Pr 0.000 0.000 0.000
6 Pr 0.500 0.500 0.500
7 Sm 0.500 0.336 0.298
8 Sm 0.000 0.836 0.202
9 Sm 0.500 0.664 0.702
10 Sm 0.000 0.164 0.798
11 Mg 0.500 0.500 0.000
12 Mg 0.000 0.000 0.500


No. 5
VASP calculation (PBE) on a relaxed Pm2PrSm4Mg crystal.

ΔE_f: 0.0859 eV/atom
magnetization: 0.0 μB/cell
N(E_F): 15.6 states/eV/f.u.

Unit cell a=5.770 b=5.762 c=9.811 alpha=54.01 beta=90.00 gamma=90.00
Fractional coordinates of all 8 atoms:
1 Pm 0.000 0.000 0.000
2 Pm 0.500 0.000 0.500
3 Pr 0.000 0.500 0.500
4 Sm 0.000 0.728 0.771
5 Sm 0.000 0.272 0.229
6 Sm 0.500 0.772 0.228
7 Sm 0.500 0.228 0.772
8 Mg 0.500 0.500 0.000


No. 6
VASP calculation (PBE) on a relaxed Pm2PrSm6Mg crystal.

ΔE_f: 0.1106 eV/atom
magnetization: 0.0 μB/cell
N(E_F): 13.6 states/eV/f.u.

Unit cell a=9.203 b=9.056 c=9.056 alpha=117.76 beta=91.02 gamma=91.02
Fractional coordinates of all 20 atoms:
1 Pm 0.446 0.785 0.668
2 Pm 0.054 0.332 0.215
3 Pm 0.554 0.215 0.332
4 Pm 0.946 0.668 0.785
5 Pr 0.250 0.975 0.025
6 Pr 0.750 0.025 0.975
7 Sm 0.057 0.145 0.785
8 Sm 0.443 0.215 0.855
9 Sm 0.943 0.855 0.215
10 Sm 0.557 0.785 0.145
11 Sm 0.289 0.006 0.427
12 Sm 0.211 0.573 0.994
13 Sm 0.711 0.994 0.573
14 Sm 0.789 0.427 0.006
15 Sm 0.097 0.729 0.498
16 Sm 0.403 0.502 0.271
17 Sm 0.903 0.271 0.502
18 Sm 0.597 0.498 0.729
19 Mg 0.250 0.423 0.577
20 Mg 0.750 0.577 0.423


No. 7
VASP calculation (PBE) on a relaxed Pm6PrSm2Mg crystal.

ΔE_f: 0.1097 eV/atom
magnetization: 0.0 μB/cell
N(E_F): 14.0 states/eV/f.u.

Unit cell a=9.240 b=9.071 c=9.071 alpha=117.74 beta=91.19 gamma=91.19
Fractional coordinates of all 20 atoms:
1 Pm 0.056 0.141 0.785
2 Pm 0.444 0.215 0.859
3 Pm 0.944 0.859 0.215
4 Pm 0.556 0.785 0.141
5 Pm 0.292 0.006 0.430
6 Pm 0.208 0.570 0.994
7 Pm 0.708 0.994 0.570
8 Pm 0.792 0.430 0.006
9 Pm 0.098 0.727 0.495
10 Pm 0.402 0.505 0.273
11 Pm 0.902 0.273 0.505
12 Pm 0.598 0.495 0.727
13 Pr 0.250 0.974 0.026
14 Pr 0.750 0.026 0.974
15 Sm 0.446 0.785 0.671
16 Sm 0.054 0.329 0.215
17 Sm 0.554 0.215 0.329
18 Sm 0.946 0.671 0.785
19 Mg 0.250 0.423 0.577
20 Mg 0.750 0.577 0.423


No. 8
VASP calculation (PBE) on a relaxed Pm2Pr6Sm3Mg crystal.

ΔE_f: 0.0138 eV/atom
magnetization: 0.0 μB/cell
N(E_F): 14.2 states/eV/f.u.

Unit cell a=6.332 b=6.332 c=12.028 alpha=95.06 beta=95.06 gamma=120.06
Fractional coordinates of all 12 atoms:
1 Pm 0.333 0.667 0.000
2 Pm 0.667 0.333 0.000
3 Pr 0.918 0.587 0.751
4 Pr 0.751 0.751 0.250
5 Pr 0.082 0.413 0.249
6 Pr 0.587 0.918 0.751
7 Pr 0.249 0.249 0.750
8 Pr 0.413 0.082 0.249
9 Sm 0.167 0.833 0.500
10 Sm 0.833 0.167 0.500
11 Sm 0.500 0.500 0.500
12 Mg 0.000 0.000 0.000


No. 9
VASP calculation (PBE) on a relaxed Pm2Pr2SmMg crystal.

ΔE_f: 0.1728 eV/atom
magnetization: 0.0 μB/cell
N(E_F): 8.4 states/eV/f.u.

Unit cell a=6.914 b=6.482 c=10.225 alpha=108.48 beta=109.76 gamma=90.00
Fractional coordinates of all 12 atoms:
1 Pm 0.805 0.153 0.306
2 Pm 0.501 0.653 0.306
3 Pm 0.499 0.347 0.694
4 Pm 0.195 0.847 0.694
5 Pr 0.311 0.152 0.304
6 Pr 0.689 0.848 0.696
7 Pr 0.008 0.348 0.696
8 Pr 0.992 0.652 0.304
9 Sm 0.000 0.750 0.000
10 Sm 0.000 0.250 0.000
11 Mg 0.500 0.750 0.000
12 Mg 0.500 0.250 0.000


No. 10
VASP calculation (PBE) on a relaxed Pm2Pr6Sm2Mg crystal.

ΔE_f: 0.1718 eV/atom
magnetization: 0.0 μB/cell
N(E_F): 14.8 states/eV/f.u.

Unit cell a=6.216 b=6.216 c=11.769 alpha=94.26 beta=94.26 gamma=118.75
Fractional coordinates of all 11 atoms:
1 Pm 0.333 0.667 0.500
2 Pm 0.667 0.333 0.500
3 Pr 0.742 0.742 0.756
4 Pr 0.077 0.402 0.750
5 Pr 0.258 0.258 0.244
6 Pr 0.402 0.077 0.750
7 Pr 0.923 0.598 0.250
8 Pr 0.598 0.923 0.250
9 Sm 0.826 0.174 0.000
10 Sm 0.174 0.826 0.000
11 Mg 0.000 0.000 0.500


No. 11
VASP calculation (PBE) on a relaxed PmPr2Sm2Mg crystal.

ΔE_f: 0.2239 eV/atom
magnetization: 0.0 μB/cell
N(E_F): 9.1 states/eV/f.u.

Unit cell a=3.470 b=6.201 c=18.982 alpha=90.00 beta=90.00 gamma=90.00
Fractional coordinates of all 12 atoms:
1 Pm 0.000 0.000 0.000
2 Pm 0.500 0.500 0.500
3 Pr 0.500 0.836 0.362
4 Pr 0.500 0.164 0.638
5 Pr 0.000 0.664 0.862
6 Pr 0.000 0.336 0.138
7 Sm 0.500 0.337 0.299
8 Sm 0.000 0.837 0.201
9 Sm 0.500 0.663 0.701
10 Sm 0.000 0.163 0.799
11 Mg 0.500 0.500 0.000
12 Mg 0.000 0.000 0.500


No. 12
VASP calculation (PBE) on a relaxed Pm2Pr3Sm6Mg crystal.

ΔE_f: 0.0223 eV/atom
magnetization: 0.0 μB/cell
N(E_F): 16.9 states/eV/f.u.

Unit cell a=6.282 b=6.282 c=12.013 alpha=95.03 beta=95.03 gamma=120.05
Fractional coordinates of all 12 atoms:
1 Pm 0.333 0.667 0.000
2 Pm 0.667 0.333 0.000
3 Pr 0.167 0.833 0.500
4 Pr 0.833 0.167 0.500
5 Pr 0.500 0.500 0.500
6 Sm 0.919 0.588 0.754
7 Sm 0.751 0.751 0.248
8 Sm 0.081 0.412 0.246
9 Sm 0.588 0.919 0.754
10 Sm 0.249 0.249 0.752
11 Sm 0.412 0.081 0.246
12 Mg 0.000 0.000 0.000


> Number 11 is which compound?

PmPr2Sm2Mg